# PmNd3N3

Crystalline PmNd3N3 at its relaxed geometry (PBE-GGA, Alexandria via LeMat-Bulk).

Lattice parameters (Å, degrees): 8.3112 8.3112 5.2904 90.00 90.00 120.00
With the nearest neighbours (Å) after each atom.
Atoms (fractional coordinates):
Pm  0.3333  0.6667  0.2500  3 N 2.41
Pm  0.6667  0.3333  0.7500  3 N 2.41
Nd  0.1646  0.3292  0.7500  4 N 2.38-2.65
Nd  0.1646  0.8354  0.7500  4 N 2.38-2.65
Nd  0.3292  0.1646  0.2500  4 N 2.38-2.65
Nd  0.6708  0.8354  0.7500  4 N 2.38-2.65
Nd  0.8354  0.1646  0.2500  4 N 2.38-2.65
Nd  0.8354  0.6708  0.2500  4 N 2.38-2.65
N  0.1657  0.3315  0.2500  4 Nd 2.38-2.65, 1 Pm 2.41
N  0.1657  0.8343  0.2500  4 Nd 2.38-2.65, 1 Pm 2.41
N  0.3315  0.1657  0.7500  4 Nd 2.38-2.65, 1 Pm 2.41
N  0.6685  0.8343  0.2500  4 Nd 2.38-2.65, 1 Pm 2.41
N  0.8343  0.1657  0.7500  4 Nd 2.38-2.65, 1 Pm 2.41
N  0.8343  0.6685  0.7500  4 Nd 2.38-2.65, 1 Pm 2.41

Properties
Distance to the lowest polymorph of the same formula ... 74.4 meV per atom
Formation energy from raw total energies ... -1066 meV per atom
Density of states at the Fermi level ... 4.46 states/eV/f.u.
Calculated density ... 6.503 g/cm3

# Ir2RhCl

Crystalline Ir2RhCl at its relaxed geometry (PBE-GGA, Alexandria via LeMat-Bulk).

Lattice parameters (Å, degrees): 2.7263 4.9335 9.0255 90.00 90.00 90.00
With the nearest neighbours (Å) after each atom.
Atoms (fractional coordinates):
Ir  0.0000  0.0000  0.2470  2 Cl 2.61, 2 Rh 2.66, 6 Ir 2.73-2.82
Ir  0.0000  0.0000  0.7530  2 Cl 2.61, 2 Rh 2.66, 6 Ir 2.73-2.82
Ir  0.5000  0.5000  0.2470  2 Cl 2.61, 2 Rh 2.66, 6 Ir 2.73-2.82
Ir  0.5000  0.5000  0.7530  2 Cl 2.61, 2 Rh 2.66, 6 Ir 2.73-2.82
Rh  0.0000  0.5000  0.5000  4 Ir 2.66, 6 Rh 2.73-2.82
Rh  0.5000  0.0000  0.5000  4 Ir 2.66, 6 Rh 2.73-2.82
Cl  0.0000  0.5000  0.0000  4 Ir 2.61, 6 Cl 2.73-2.82
Cl  0.5000  0.0000  0.0000  4 Ir 2.61, 6 Cl 2.73-2.82

Properties
Distance to the lowest polymorph of the same formula ... 231.3 meV per atom
Formation energy from raw total energies ... 601 meV per atom
Density of states at the Fermi level ... 5.98 states/eV/f.u.
Calculated density ... 14.302 g/cm3

# Ca2InTcRu

Crystalline Ca2InTcRu at its relaxed geometry (PBE-GGA, Alexandria via LeMat-Bulk).

Lattice parameters (Å, degrees): 5.5337 5.5337 4.5725 90.00 90.00 90.00
With the nearest neighbours (Å) after each atom.
Atoms (fractional coordinates):
Ca  0.0000  0.5000  0.0000  2 Tc 2.77
Ca  0.5000  0.0000  0.0000  2 Tc 2.77
In  0.0000  0.0000  0.5000  8 Ca 3.59, 4 Ru 3.91
Tc  0.5000  0.5000  0.0000  2 Ru 2.29
Ru  0.5000  0.5000  0.5000  2 Tc 2.29

Properties
Density of states at the Fermi level ... 6.36 states/eV/f.u.
Formation energy ... 286.1 kJ/mol of formula units
Calculated density ... 4.673 g/cm3